# 1
Compound: KGaPb3
Source: Alexandria via LeMat-Bulk
Functional: PBE
Structure: relaxed

abc: 5.998 5.998 5.998
angles: 90.00 90.00 90.00
Fractional positions:
K (0.000, 0.000, 0.000)
Ga (0.500, 0.500, 0.500)
Pb (0.000, 0.000, 0.500)
Pb (0.000, 0.500, 0.000)
Pb (0.500, 0.000, 0.000)

Properties
Volume, Å³ per atom: 43.2
ρ, g/cm³: 5.6
E above lowest polymorph, kJ/mol of atoms: 96.9
DFT formation energy, eV/atom: 0.94


# 2
Compound: ThGaGe2
Source: Alexandria via LeMat-Bulk
Functional: PBE
Structure: relaxed

abc: 5.565 5.565 5.565
angles: 48.15 48.15 48.15
Fractional positions:
Th (0.000, 0.000, 0.000)
Ga (0.500, 0.500, 0.500)
Ge (0.218, 0.218, 0.218)
Ge (0.782, 0.782, 0.782)

Properties
Volume, Å³ per atom: 21.9
ρ, g/cm³: 8.5
E above lowest polymorph, kJ/mol of atoms: 18.6
DFT formation energy, eV/atom: -0.29


# 3
Compound: Na2Tl14Se9
Source: Alexandria via LeMat-Bulk
Functional: PBE
Structure: relaxed

abc: 8.991 8.991 12.460
angles: 90.00 90.00 120.00
Fractional positions:
Na (0.333, 0.667, 0.273)
Na (0.667, 0.333, 0.727)
Tl (0.000, 0.000, 0.242)
Tl (0.000, 0.000, 0.758)
Tl (0.014, 0.658, 0.900)
Tl (0.107, 0.410, 0.591)
Tl (0.303, 0.893, 0.591)
Tl (0.342, 0.356, 0.900)
Tl (0.356, 0.014, 0.100)
Tl (0.410, 0.303, 0.409)
Tl (0.590, 0.697, 0.591)
Tl (0.644, 0.986, 0.900)
Tl (0.658, 0.644, 0.100)
Tl (0.697, 0.107, 0.409)
Tl (0.893, 0.590, 0.409)
Tl (0.986, 0.342, 0.100)
Se (0.000, 0.000, 0.000)
Se (0.090, 0.321, 0.349)
Se (0.232, 0.910, 0.349)
Se (0.321, 0.232, 0.651)
Se (0.333, 0.667, 0.038)
Se (0.667, 0.333, 0.962)
Se (0.679, 0.768, 0.349)
Se (0.768, 0.090, 0.651)
Se (0.910, 0.679, 0.651)

Properties
Volume, Å³ per atom: 34.9
ρ, g/cm³: 6.9
Uncorrected formation energy, eV/atom: -0.40


# 4
Compound: Cs4Pa3Te10
Source: Alexandria via LeMat-Bulk
Functional: PBE
Structure: relaxed

abc: 21.954 21.954 21.954
angles: 164.37 164.37 22.17
Fractional positions:
Cs (0.069, 0.069, 0.000)
Cs (0.202, 0.202, 0.000)
Cs (0.798, 0.798, 0.000)
Cs (0.931, 0.931, 0.000)
Pa (0.360, 0.360, 0.000)
Pa (0.500, 0.500, 0.000)
Pa (0.640, 0.640, 0.000)
Te (0.000, 0.500, 0.500)
Te (0.136, 0.636, 0.500)
Te (0.294, 0.294, 0.000)
Te (0.364, 0.864, 0.500)
Te (0.432, 0.432, 0.000)
Te (0.500, 0.000, 0.500)
Te (0.568, 0.568, 0.000)
Te (0.636, 0.136, 0.500)
Te (0.706, 0.706, 0.000)
Te (0.864, 0.364, 0.500)

Properties
Volume, Å³ per atom: 45.1
ρ, g/cm³: 5.4
Uncorrected formation energy, eV/atom: -0.97


# 5
Compound: BaPt2Pb
Source: Alexandria via LeMat-Bulk
Functional: PBE
Structure: relaxed

abc: 5.157 5.157 3.737
angles: 90.00 90.00 90.13
Fractional positions:
Ba (0.000, 0.000, 0.000)
Pt (0.000, 0.500, 0.500)
Pt (0.500, 0.000, 0.500)
Pb (0.500, 0.500, 0.000)

Properties
Volume, Å³ per atom: 24.9
ρ, g/cm³: 12.3
DFT formation energy, eV/atom: -0.25


# 6
Compound: BaLiMo2I
Source: Alexandria via LeMat-Bulk
Functional: PBE
Structure: relaxed

abc: 5.033 5.033 6.301
angles: 90.00 90.00 90.00
Fractional positions:
Ba (0.000, 0.000, 0.000)
Li (0.500, 0.500, 0.000)
Mo (0.000, 0.500, 0.500)
Mo (0.500, 0.000, 0.500)
I (0.000, 0.000, 0.500)

Properties
Volume, Å³ per atom: 31.9
ρ, g/cm³: 4.8
Uncorrected formation energy, eV/atom: 1.47


# 7
Compound: Ta2InRe
Source: Alexandria via LeMat-Bulk
Functional: PBE
Structure: relaxed

abc: 9.267 9.267 9.267
angles: 19.13 19.13 19.13
Fractional positions:
Ta (0.000, 0.000, 0.000)
Ta (0.249, 0.249, 0.249)
In (0.758, 0.758, 0.758)
Re (0.510, 0.510, 0.510)

Properties
Volume, Å³ per atom: 18.7
ρ, g/cm³: 14.7
DFT formation energy, eV/atom: 0.28


# 8
Compound: Zn2SiMo
Source: Alexandria via LeMat-Bulk
Functional: PBE
Structure: relaxed

abc: 4.339 4.339 4.339
angles: 60.00 60.00 60.00
Fractional positions:
Zn (0.000, 0.000, 0.000)
Zn (0.250, 0.250, 0.250)
Si (0.750, 0.750, 0.750)
Mo (0.500, 0.500, 0.500)

Properties
Volume, Å³ per atom: 14.4
ρ, g/cm³: 7.3
Uncorrected formation energy, eV/atom: 0.28


# 9
Compound: BiSeN3
Source: Alexandria via LeMat-Bulk
Functional: PBE
Structure: relaxed

abc: 3.897 3.897 3.897
angles: 90.00 90.00 90.00
Fractional positions:
Bi (0.000, 0.000, 0.000)
Se (0.500, 0.500, 0.500)
N (0.000, 0.500, 0.500)
N (0.500, 0.000, 0.500)
N (0.500, 0.500, 0.000)

Properties
Volume, Å³ per atom: 11.8
ρ, g/cm³: 9.3
Uncorrected formation energy, eV/atom: 1.56


# 10
Compound: TcGe2Pt
Source: Alexandria via LeMat-Bulk
Functional: PBE
Structure: relaxed

abc: 3.166 3.166 6.019
angles: 90.00 90.00 90.00
Fractional positions:
Tc (0.000, 0.000, 0.000)
Ge (0.500, 0.500, 0.234)
Ge (0.500, 0.500, 0.766)
Pt (0.000, 0.000, 0.500)

Properties
Volume, Å³ per atom: 15.1
ρ, g/cm³: 12.1
E above lowest polymorph, kJ/mol of atoms: 0.0
DFT formation energy, eV/atom: -0.15


# 11
Compound: Ba3NdZr2O9
Source: Alexandria via LeMat-Bulk
Functional: PBE
Structure: relaxed

abc: 6.177 6.177 7.628
angles: 90.00 90.00 120.00
Fractional positions:
Ba (0.000, 0.000, 0.000)
Ba (0.333, 0.667, 0.676)
Ba (0.667, 0.333, 0.324)
Nd (0.000, 0.000, 0.500)
Zr (0.333, 0.667, 0.162)
Zr (0.667, 0.333, 0.838)
O (0.000, 0.500, 0.000)
O (0.174, 0.348, 0.317)
O (0.174, 0.826, 0.317)
O (0.348, 0.174, 0.683)
O (0.500, 0.000, 0.000)
O (0.500, 0.500, 0.000)
O (0.652, 0.826, 0.317)
O (0.826, 0.174, 0.683)
O (0.826, 0.652, 0.683)

Properties
Volume, Å³ per atom: 16.8
ρ, g/cm³: 5.8
Uncorrected formation energy, eV/atom: -2.98


# 12
Compound: Ca3Nd2YSe6
Source: Alexandria via LeMat-Bulk
Functional: PBE
Structure: relaxed

abc: 7.211 7.211 7.339
angles: 99.46 99.46 119.94
Fractional positions:
Ca (0.000, 0.000, 0.000)
Ca (0.331, 0.669, 0.000)
Ca (0.669, 0.331, 0.000)
Nd (0.166, 0.834, 0.500)
Nd (0.834, 0.166, 0.500)
Y (0.500, 0.500, 0.500)
Se (0.090, 0.416, 0.247)
Se (0.259, 0.259, 0.754)
Se (0.416, 0.090, 0.247)
Se (0.584, 0.910, 0.753)
Se (0.741, 0.741, 0.246)
Se (0.910, 0.584, 0.753)

Properties
Volume, Å³ per atom: 26.0
ρ, g/cm³: 5.2
Uncorrected formation energy, eV/atom: -1.90


# 13
Compound: BTePb3
Source: Alexandria via LeMat-Bulk
Functional: PBE
Structure: relaxed

abc: 6.022 6.022 6.022
angles: 90.00 90.00 90.00
Fractional positions:
B (0.000, 0.000, 0.000)
Te (0.500, 0.500, 0.500)
Pb (0.000, 0.500, 0.500)
Pb (0.500, 0.000, 0.500)
Pb (0.500, 0.500, 0.000)

Properties
Volume, Å³ per atom: 43.7
ρ, g/cm³: 5.8
E above lowest polymorph, kJ/mol of atoms: 92.3
Uncorrected formation energy, eV/atom: 1.44


# 14
Compound: MnCr
Source: Alexandria via LeMat-Bulk
Functional: PBE
Structure: relaxed

abc: 2.489 2.489 8.458
angles: 90.00 90.00 120.00
Fractional positions:
Mn (0.333, 0.667, 0.385)
Mn (0.667, 0.333, 0.615)
Cr (0.333, 0.667, 0.868)
Cr (0.667, 0.333, 0.132)

Properties
Volume, Å³ per atom: 11.3
ρ, g/cm³: 7.8
DFT formation energy, eV/atom: 0.23


# 15
Compound: Ho12Zn2In5
Source: Alexandria via LeMat-Bulk
Functional: PBE
Structure: relaxed

abc: 9.242 9.242 8.992
angles: 96.90 96.90 44.56
Fractional positions:
Ho (0.004, 0.004, 0.193)
Ho (0.096, 0.599, 0.984)
Ho (0.100, 0.589, 0.571)
Ho (0.401, 0.904, 0.016)
Ho (0.411, 0.900, 0.429)
Ho (0.464, 0.464, 0.317)
Ho (0.536, 0.536, 0.683)
Ho (0.589, 0.100, 0.571)
Ho (0.599, 0.096, 0.984)
Ho (0.900, 0.411, 0.429)
Ho (0.904, 0.401, 0.016)
Ho (0.996, 0.996, 0.807)
Zn (0.169, 0.831, 0.500)
Zn (0.831, 0.169, 0.500)
In (0.201, 0.201, 0.738)
In (0.275, 0.275, 0.255)
In (0.500, 0.500, 0.000)
In (0.725, 0.725, 0.745)
In (0.799, 0.799, 0.262)

Properties
Volume, Å³ per atom: 28.1
ρ, g/cm³: 8.3
DFT formation energy, eV/atom: -0.20


# 16
Compound: SmNpIr2
Source: Alexandria via LeMat-Bulk
Functional: PBE
Structure: relaxed

abc: 4.891 4.891 4.891
angles: 60.00 60.00 60.00
Fractional positions:
Sm (0.000, 0.000, 0.000)
Np (0.500, 0.500, 0.500)
Ir (0.250, 0.250, 0.250)
Ir (0.750, 0.750, 0.750)

Properties
Volume, Å³ per atom: 20.7
ρ, g/cm³: 15.5
E above lowest polymorph, kJ/mol of atoms: 6.6
DFT formation energy, eV/atom: -0.40


# 17
Compound: CaLuMg2
Source: Alexandria via LeMat-Bulk
Functional: PBE
Structure: relaxed

abc: 3.831 3.831 7.760
angles: 90.00 90.00 90.00
Fractional positions:
Ca (0.000, 0.000, 0.000)
Lu (0.000, 0.000, 0.500)
Mg (0.500, 0.500, 0.268)
Mg (0.500, 0.500, 0.732)

Properties
Volume, Å³ per atom: 28.5
ρ, g/cm³: 3.8
DFT formation energy, eV/atom: -0.05


# 18
Compound: Ag5Ge2Au12
Source: Alexandria via LeMat-Bulk
Functional: PBE
Structure: relaxed

abc: 7.828 7.828 6.144
angles: 92.25 92.25 69.57
Fractional positions:
Ag (0.000, 0.000, 0.000)
Ag (0.234, 0.234, 0.023)
Ag (0.321, 0.321, 0.589)
Ag (0.679, 0.679, 0.411)
Ag (0.766, 0.766, 0.977)
Ge (0.253, 0.747, 0.500)
Ge (0.747, 0.253, 0.500)
Au (0.056, 0.565, 0.298)
Au (0.109, 0.109, 0.417)
Au (0.165, 0.629, 0.885)
Au (0.371, 0.835, 0.115)
Au (0.435, 0.944, 0.702)
Au (0.454, 0.454, 0.222)
Au (0.546, 0.546, 0.778)
Au (0.565, 0.056, 0.298)
Au (0.629, 0.165, 0.885)
Au (0.835, 0.371, 0.115)
Au (0.891, 0.891, 0.583)
Au (0.944, 0.435, 0.702)

Properties
Volume, Å³ per atom: 18.5
ρ, g/cm³: 14.4
DFT formation energy, eV/atom: 0.01


# 19
Compound: NaSm2Tl6
Source: Alexandria via LeMat-Bulk
Functional: PBE
Structure: relaxed

abc: 9.432 9.432 3.615
angles: 90.08 90.08 55.22
Fractional positions:
Na (0.000, 0.000, 0.000)
Sm (0.308, 0.308, 0.500)
Sm (0.692, 0.692, 0.500)
Tl (0.025, 0.656, 0.000)
Tl (0.320, 0.680, 0.500)
Tl (0.344, 0.975, 0.000)
Tl (0.656, 0.025, 0.000)
Tl (0.680, 0.320, 0.500)
Tl (0.975, 0.344, 0.000)

Properties
Volume, Å³ per atom: 29.4
ρ, g/cm³: 9.7
DFT formation energy, eV/atom: -0.12


# 20
Compound: SrMgTl2
Source: Alexandria via LeMat-Bulk
Functional: PBE
Structure: relaxed

abc: 5.477 5.477 5.477
angles: 60.00 60.00 60.00
Fractional positions:
Sr (0.000, 0.000, 0.000)
Mg (0.500, 0.500, 0.500)
Tl (0.250, 0.250, 0.250)
Tl (0.750, 0.750, 0.750)

Properties
Volume, Å³ per atom: 29.0
ρ, g/cm³: 7.4
E above lowest polymorph, kJ/mol of atoms: 0.0
DFT formation energy, eV/atom: -0.28